! NaCaY2Pd | the Alexandria database | PBE | optimized geometry; values from VASP
! * total DFT energy (no corrections): -4.4454 eV per atom
! * ΔH_f (0 K): -0.157 eV/atom
&SYSTEM
  ibrav = 0, nat = 5, ntyp = 4
/
ATOMIC_SPECIES
Y 88.91 Y.upf
Pd 106.42 Pd.upf
Ca 40.08 Ca.upf
Na 22.99 Na.upf
ATOMIC_POSITIONS angstrom
Y -1.6574 0.2022 -2.1760
Y 1.8068 -1.4095 -1.5072
Pd 0.0000 0.0000 0.0000
Ca -1.2954 -2.4701 0.7571
Na -1.1460 -3.6774 -2.9261
CELL_PARAMETERS angstrom
-3.3148 0.4045 -4.3521
3.6136 -2.8191 -3.0144
-2.5909 -4.9403 1.5142

---

! Na4CaPm | the Alexandria database | PBE | optimized geometry; values from VASP
! * total DFT energy (no corrections): -1.8111 eV per atom
! * ΔH_f (0 K): 0.194 eV/atom
&SYSTEM
  ibrav = 0, nat = 6, ntyp = 3
/
ATOMIC_SPECIES
Na 22.99 Na.upf
Ca 40.08 Ca.upf
Pm 145.00 Pm.upf
ATOMIC_POSITIONS angstrom
Na -4.7006 5.3014 3.1699
Na -6.7476 5.0804 5.7961
Na -3.8427 3.4380 5.8020
Na -6.3152 2.4479 3.7914
Ca 0.0000 0.0000 0.0000
Pm -2.7008 2.0335 2.3199
CELL_PARAMETERS angstrom
-5.8284 3.2954 -0.0117
-4.1071 -0.4434 5.2692
-0.8675 5.2819 4.0223

---

! NaCaPm | the Alexandria database | PBE | optimized geometry; values from VASP
! * total DFT energy (no corrections): -2.6467 eV per atom
! * polymorph energy (0 for the lowest one): 0.00 kJ/mol of atoms
! * ΔH_f (0 K): 0.044 eV/atom
&SYSTEM
  ibrav = 0, nat = 6, ntyp = 3
/
ATOMIC_SPECIES
Pm 145.00 Pm.upf
Na 22.99 Na.upf
Ca 40.08 Ca.upf
ATOMIC_POSITIONS angstrom
Pm 1.5977 0.9229 1.6443
Pm 3.1500 1.8197 4.7474
Na 4.0206 2.3227 14.2729
Na 2.4799 1.4326 10.9487
Ca 1.8225 1.0529 17.1403
Ca 4.6739 2.7001 8.0801
CELL_PARAMETERS angstrom
3.7358 -0.0096 0.4022
1.8580 3.2411 0.4022
1.7472 1.0093 18.8279

---

! NaCaPm | the Alexandria database | PBE | optimized geometry; values from VASP
! * total DFT energy (no corrections): -2.5574 eV per atom
! * polymorph energy (0 for the lowest one): 8.62 kJ/mol of atoms
! * ΔH_f (0 K): 0.133 eV/atom
&SYSTEM
  ibrav = 0, nat = 3, ntyp = 3
/
ATOMIC_SPECIES
Na 22.99 Na.upf
Ca 40.08 Ca.upf
Pm 145.00 Pm.upf
ATOMIC_POSITIONS angstrom
Na 0.0000 0.0000 0.0405
Ca 0.0000 2.1415 6.1771
Pm 1.8546 1.0707 3.1583
CELL_PARAMETERS angstrom
3.7091 0.0000 0.0000
-1.8545 3.2122 0.0000
0.0000 0.0000 9.3759

---

! NaCaPm | the Alexandria database | PBE | optimized geometry; values from VASP
! * total DFT energy (no corrections): -2.6456 eV per atom
! * polymorph energy (0 for the lowest one): 0.11 kJ/mol of atoms
! * ΔH_f (0 K): 0.045 eV/atom
&SYSTEM
  ibrav = 0, nat = 6, ntyp = 3
/
ATOMIC_SPECIES
Na 22.99 Na.upf
Pm 145.00 Pm.upf
Ca 40.08 Ca.upf
ATOMIC_POSITIONS angstrom
Na -0.1248 0.9721 6.2317
Na 1.7607 0.3974 9.4544
Pm -0.1349 2.1534 -0.2991
Pm 1.7595 3.5222 15.2569
Ca 1.7458 1.5519 2.9356
Ca -0.1306 1.9753 12.3869
CELL_PARAMETERS angstrom
3.7646 -0.0176 -0.0007
-1.8652 3.2288 -0.5147
0.0101 0.7556 18.5282

---

! NaCaPm | the Alexandria database | PBE | optimized geometry; values from VASP
! * total DFT energy (no corrections): -2.5329 eV per atom
! * polymorph energy (0 for the lowest one): 10.98 kJ/mol of atoms
! * ΔH_f (0 K): 0.157 eV/atom
&SYSTEM
  ibrav = 0, nat = 3, ntyp = 3
/
ATOMIC_SPECIES
Na 22.99 Na.upf
Pm 145.00 Pm.upf
Ca 40.08 Ca.upf
ATOMIC_POSITIONS angstrom
Na 1.8088 1.8088 8.4349
Pm 0.0000 0.0000 5.6381
Ca 1.8088 1.8088 2.8856
CELL_PARAMETERS angstrom
3.6176 0.0000 0.0000
0.0000 3.6176 0.0000
-1.8088 -1.8088 8.4793

---

! NaCaPmPt | the Alexandria database | PBE | optimized geometry; values from VASP
! * total DFT energy (no corrections): -3.9130 eV per atom
! * ΔH_f (0 K): -0.385 eV/atom
&SYSTEM
  ibrav = 0, nat = 4, ntyp = 4
/
ATOMIC_SPECIES
Pm 145.00 Pm.upf
Pt 195.08 Pt.upf
Ca 40.08 Ca.upf
Na 22.99 Na.upf
ATOMIC_POSITIONS angstrom
Pm 0.0000 0.0000 0.0000
Pt 7.7906 4.4979 3.1805
Ca 5.1937 2.9986 2.1203
Na 2.5969 1.4993 1.0602
CELL_PARAMETERS angstrom
5.1937 0.0000 0.0000
2.5969 4.4979 0.0000
2.5969 1.4993 4.2406

---

! NaCa4Pm3S8 | the Alexandria database | PBE | optimized geometry; values from VASP
! * total DFT energy (no corrections): -5.5588 eV per atom
! * uncorrected formation energy: -2.021 eV per atom
&SYSTEM
  ibrav = 0, nat = 16, ntyp = 4
/
ATOMIC_SPECIES
Pm 145.00 Pm.upf
S 32.06 S.upf
Ca 40.08 Ca.upf
Na 22.99 Na.upf
ATOMIC_POSITIONS angstrom
Pm 2.0157 2.0288 2.8576
Pm 4.0313 4.0431 0.0051
Pm -2.0157 2.0288 2.8576
S 2.0363 2.0065 0.0068
S 0.0000 4.0470 2.8918
S -1.9950 2.0511 5.7085
S 0.0000 -0.0051 2.8449
S 6.0263 2.0065 0.0068
S 4.0313 4.0628 2.8704
S 1.9950 2.0511 5.7085
S 4.0313 0.0107 2.8234
Ca 4.0313 0.0000 0.0000
Ca -2.0157 -2.0143 2.8525
Ca 2.0157 -2.0143 2.8525
Ca 0.0000 0.0000 0.0000
Na 0.0000 4.0431 0.0051
CELL_PARAMETERS angstrom
8.0627 0.0000 0.0000
0.0000 8.0863 0.0102
-4.0313 -4.0286 5.7050

---

! NaCa3Pm3S8 | the Alexandria database | PBE | optimized geometry; values from VASP
! * total DFT energy (no corrections): -5.5699 eV per atom
! * uncorrected formation energy: -1.930 eV per atom
&SYSTEM
  ibrav = 0, nat = 15, ntyp = 4
/
ATOMIC_SPECIES
Ca 40.08 Ca.upf
S 32.06 S.upf
Pm 145.00 Pm.upf
Na 22.99 Na.upf
ATOMIC_POSITIONS angstrom
Ca -0.6756 -3.9119 0.7462
Ca 0.0000 0.0000 0.0000
Ca 0.7731 -1.5207 3.6614
S -2.3232 0.0566 -1.7139
S -1.5052 -1.4552 1.9416
S -4.5638 1.0401 1.4147
S -6.0516 -1.3266 -1.5012
S -3.7597 -2.3144 -4.6045
S -2.9930 -3.8219 -0.9744
S -5.2336 -2.8384 2.1543
S -3.7971 -0.4674 5.0449
Pm -4.5515 0.1298 -3.4413
Pm -3.7784 -1.3909 0.2202
Pm -2.3297 1.0003 3.1355
Na -3.1028 2.5210 -0.5260
CELL_PARAMETERS angstrom
-2.8974 -4.7825 -5.8306
1.5462 -3.0413 7.3229
-6.2056 5.0420 -1.0520

---

! NaCaPmSb | the Alexandria database | PBE | optimized geometry; values from VASP
! * total DFT energy (no corrections): -3.4198 eV per atom
! * uncorrected formation energy: -0.371 eV per atom
&SYSTEM
  ibrav = 0, nat = 4, ntyp = 4
/
ATOMIC_SPECIES
Na 22.99 Na.upf
Pm 145.00 Pm.upf
Sb 121.76 Sb.upf
Ca 40.08 Ca.upf
ATOMIC_POSITIONS angstrom
Na 2.7275 1.5747 1.1135
Pm 5.4551 3.1495 2.2270
Sb 8.1826 4.7242 3.3405
Ca 0.0000 0.0000 0.0000
CELL_PARAMETERS angstrom
5.4551 0.0000 0.0000
2.7275 4.7242 0.0000
2.7275 1.5747 4.4540

---

! NaCa3Pm4Se8 | the Alexandria database | PBE | optimized geometry; values from VASP
! * total DFT energy (no corrections): -5.2470 eV per atom
! * uncorrected formation energy: -1.859 eV per atom
&SYSTEM
  ibrav = 0, nat = 16, ntyp = 4
/
ATOMIC_SPECIES
Ca 40.08 Ca.upf
Pm 145.00 Pm.upf
Se 78.96 Se.upf
Na 22.99 Na.upf
ATOMIC_POSITIONS angstrom
Ca 2.0890 2.1433 2.9897
Ca -2.0890 2.1433 2.9897
Ca 4.1780 4.2301 0.0338
Pm -2.0890 -2.0869 2.9559
Pm 2.0890 -2.0869 2.9559
Pm 0.0000 0.0000 0.0000
Pm 4.1780 0.0000 0.0000
Se -2.0812 2.1691 5.9553
Se 0.0000 4.2481 3.0107
Se 0.0000 0.0497 2.9879
Se 4.1780 0.0384 2.9686
Se 6.2592 2.1174 0.0240
Se 2.0969 2.1174 0.0240
Se 4.1780 4.2368 2.9914
Se 2.0811 2.1691 5.9553
Na 0.0000 4.2301 0.0338
CELL_PARAMETERS angstrom
8.3561 0.0000 0.0000
0.0000 8.4603 0.0676
-4.1781 -4.1738 5.9117

---

! NaCa3Pm2Se6 | the Alexandria database | PBE | optimized geometry; values from VASP
! * total DFT energy (no corrections): -5.0125 eV per atom
! * uncorrected formation energy: -1.868 eV per atom
&SYSTEM
  ibrav = 0, nat = 12, ntyp = 4
/
ATOMIC_SPECIES
Se 78.96 Se.upf
Ca 40.08 Ca.upf
Pm 145.00 Pm.upf
Na 22.99 Na.upf
ATOMIC_POSITIONS angstrom
Se -2.2595 1.3381 -1.4769
Se -0.9615 5.0623 -0.0031
Se -0.5986 1.6559 2.4446
Se -4.6801 0.9021 1.9090
Se -5.0430 4.3085 -0.5388
Se -3.3821 4.6263 3.3828
Ca -1.1750 3.2972 4.8389
Ca -2.8208 2.9822 0.9529
Ca -4.4666 2.6672 -2.9330
Pm -2.4785 -0.4447 3.3816
Pm -4.1183 -0.7585 -0.4902
Na 0.0000 0.0000 0.0000
CELL_PARAMETERS angstrom
-5.7551 -1.0718 -4.3551
-0.8416 -0.1314 7.2465
0.9552 7.1676 -0.9855

---

! NaCa2Pm3Se6 | the Alexandria database | PBE | optimized geometry; values from VASP
! * total DFT energy (no corrections): -5.2149 eV per atom
! * uncorrected formation energy: -1.841 eV per atom
&SYSTEM
  ibrav = 0, nat = 12, ntyp = 4
/
ATOMIC_SPECIES
Se 78.96 Se.upf
Pm 145.00 Pm.upf
Ca 40.08 Ca.upf
Na 22.99 Na.upf
ATOMIC_POSITIONS angstrom
Se 3.6291 2.0784 5.2173
Se 0.0076 0.0131 5.2298
Se 2.4292 0.0007 1.7395
Se -1.2134 2.1044 1.7395
Se -0.0134 4.1821 5.2173
Se 2.4082 4.1698 1.7269
Pm -2.4278 4.1911 3.4784
Pm 4.8435 -0.0083 3.4784
Pm 1.2079 2.0914 3.4784
Ca -0.0017 4.1832 0.0017
Ca 3.6242 2.0891 0.0017
Na 0.0000 0.0000 0.0000
CELL_PARAMETERS angstrom
7.2430 -0.0008 0.0017
-3.6204 6.2732 0.0017
-1.2068 -2.0895 6.9533